A plane-wave DFT calculation with PBE was carried out for a relaxed NaSeBr2Cl crystal.

Unit cell a=5.431 b=5.431 c=6.068 alpha=90.00 beta=90.00 gamma=90.00
Element x y z (fractional)
1 Na 0.000 0.000 0.000
2 Se 0.000 0.000 0.500
3 Br 0.000 0.500 0.000
4 Br 0.500 0.000 0.000
5 Cl 0.500 0.500 0.500

Crystal system: tetragonal
Uncorrected formation energy: 0.223 eV/atom
Excess energy over the best structure of this formula in the dataset: 71.9 kJ per mole of atoms
Space group: P4/mmm (123)